Computed, not measured: a geometry-optimized SbAsI2N structure at the PBE level of DFT.

Geometry as extended XYZ:
```
5
Lattice="-5.125 -0.851 -1.886 -0.835 -3.761 3.964 -1.905 3.985 3.380" Properties=species:S:1:pos:R:3 pbc="T T T"
Sb -0.953 1.992 1.690
I -0.417 -1.880 1.982
I -2.563 -0.425 -0.943
As 0.000 0.000 0.000
N -3.933 -0.314 2.728
```

Calculated volume   33.98 Å³/atom
VASP energy   -11.7 eV/cell
Symmetry   No. 123
Offset from the most stable computed form   961 meV/atom